[1]
# BaTa3Hg | Alexandria via LeMat-Bulk | GGA-PBE | relaxed
data_BaTa3Hg
_chemical_formula_sum 'Ba1 Ta3 Hg1'
_cell_length_a 5.250
_cell_length_b 5.250
_cell_length_c 5.250
_cell_angle_alpha 90.00
_cell_angle_beta 90.00
_cell_angle_gamma 90.00
_symmetry_space_group_name_H-M 'P m -3 m'
_symmetry_Int_Tables_number 221
_symmetry_space_group_name_Hall '-P 4 2 3'
loop_
_atom_site_label
_atom_site_fract_x
_atom_site_fract_y
_atom_site_fract_z
Ba1 0.000 0.000 0.000
Ta1 0.000 0.500 0.500
Hg1 0.500 0.500 0.500
# DFT formation energy in meV per atom: 1992
# Theoretical density in Mg/m³: 10.1
# Calculated total energy in eV per atom: -5.56
# N(E_F) in states/eV/f.u.: 9.34
# ΔE to the lowest computed polymorph in eV per atom: 0.0000

[2]
# ThMg2Zn9 | Alexandria via LeMat-Bulk | GGA-PBE | relaxed
data_ThMg2Zn9
_chemical_formula_sum 'Th3 Mg6 Zn27'
_cell_length_a 5.3442
_cell_length_b 5.3442
_cell_length_c 25.3720
_cell_angle_alpha 90.00
_cell_angle_beta 90.00
_cell_angle_gamma 120.00
_symmetry_space_group_name_H-M 'R -3 m'
_symmetry_Int_Tables_number 166
_symmetry_space_group_name_Hall '-R 3 2"'
loop_
_atom_site_label
_atom_site_fract_x
_atom_site_fract_y
_atom_site_fract_z
Th1 0.0000 0.0000 0.0000
Mg1 0.0000 0.0000 0.1405
Zn1 0.0000 0.0000 0.3335
Zn2 0.0000 0.0000 0.5000
Zn3 0.0057 0.5028 0.9144
# DFT formation energy in meV per atom: -158
# Theoretical density in Mg/m³: 6.9
# Calculated total energy in eV per atom: -2.00
# N(E_F) in states/eV/f.u.: 3.15

[3]
# Sm7BeI12 | Alexandria via LeMat-Bulk | GGA-PBE | relaxed
data_Sm7BeI12
_chemical_formula_sum 'Sm21 Be3 I36'
_cell_length_a 15.8812
_cell_length_b 15.8812
_cell_length_c 10.6682
_cell_angle_alpha 90.00
_cell_angle_beta 90.00
_cell_angle_gamma 120.00
_symmetry_space_group_name_H-M 'R -3'
_symmetry_Int_Tables_number 148
_symmetry_space_group_name_Hall '-R 3'
loop_
_atom_site_label
_atom_site_fract_x
_atom_site_fract_y
_atom_site_fract_z
Sm1 0.0000 0.0000 0.0000
Sm2 0.0447 0.1596 0.3518
Be1 0.0000 0.0000 0.5000
I1 0.0213 0.5865 0.1636
I2 0.0518 0.1846 0.8392
# Theoretical density in Mg/m³: 5.5
# Calculated total energy in eV per atom: -3.94
# N(E_F) in states/eV/f.u.: 12.31